Entry 1:
Entry from Alexandria: a relaxed Rb3Ce3TiS8 crystal (PBE).

Summary:
- space-group type = R-3m (166)
- electronic total energy (eV per atom) = -5.766
- uncorrected formation energy (meV/atom) = -1658.0

a = 8.1060 Å, b = 8.1068 Å, c = 9.1141 Å
α = 116.42°, β = 90.00°, γ = 120.00°
With the nearest neighbours (Å) after each atom.
Positions (direct):
Rb1 0.0000 0.0000 0.0000  6 S 3.32-3.37
Rb2 0.0000 0.5000 0.0000  6 S 3.32-3.37
Rb3 0.5000 0.5000 0.0000  6 S 3.32-3.37
Ce1 0.5000 0.0000 0.5000  6 S 2.81-2.82
Ce2 0.5000 0.5000 0.5000  6 S 2.81-2.82
Ce3 0.0000 0.5000 0.5000  6 S 2.81-2.82
Ti1 0.0000 0.0000 0.5000  6 S 2.56
S1 0.2672 0.5343 0.3016  3 Ce 2.81
S2 0.7328 0.4657 0.6984  3 Ce 2.81
S3 0.7875 0.5749 0.3206  1 Ti 2.56, 2 Ce 2.82
S4 0.2125 0.4251 0.6794  1 Ti 2.56, 2 Ce 2.82
S5 0.7875 0.0331 0.3207  1 Ti 2.56, 2 Ce 2.82
S6 0.2125 0.9669 0.6793  1 Ti 2.56, 2 Ce 2.82
S7 0.2457 0.0331 0.3206  1 Ti 2.56, 2 Ce 2.82
S8 0.7543 0.9669 0.6794  1 Ti 2.56, 2 Ce 2.82


Entry 2:
Entry from Alexandria: a relaxed Tb2CdNi9 crystal (PBE).

Summary:
- space-group type = R-3m (166)
- electronic total energy (eV per atom) = -5.413
- energy of formation (eV per atom) = -0.229

a = 4.9418 Å, b = 4.9418 Å, c = 8.5539 Å
α = 73.21°, β = 73.21°, γ = 60.00°
With the nearest neighbours (Å) after each atom.
Positions (direct):
Tb1 0.8644 0.8644 0.4069  9 Ni 2.79-2.95
Tb2 0.1356 0.1356 0.5931  9 Ni 2.79-2.95
Cd1 0.0000 0.0000 0.0000  18 Ni 2.85-3.16
Ni1 0.6671 0.6671 0.9988  6 Ni 2.43-2.45
Ni2 0.3329 0.3329 0.0012  6 Ni 2.43-2.45
Ni3 0.5000 0.5000 0.5000  6 Ni 2.50
Ni4 0.4178 0.4178 0.2453  7 Ni 2.43-2.50
Ni5 0.9192 0.4178 0.2453  7 Ni 2.43-2.50
Ni6 0.4178 0.9192 0.2453  7 Ni 2.43-2.50
Ni7 0.5822 0.5822 0.7547  7 Ni 2.43-2.50
Ni8 0.5822 0.0808 0.7547  7 Ni 2.43-2.50
Ni9 0.0808 0.5822 0.7547  7 Ni 2.43-2.50


Entry 3:
Entry from Alexandria: a relaxed TiBPCl2 crystal (PBE).

Summary:
- space-group type = P4/mmm (123)
- electronic total energy (eV per atom) = -4.323
- distance to the lowest polymorph of the same formula (eV per atom) = 0.000
- uncorrected formation energy (meV/atom) = 411.8

a = 4.6871 Å, b = 4.6871 Å, c = 4.9672 Å
α = 90.00°, β = 90.00°, γ = 90.00°
With the nearest neighbours (Å) after each atom.
Positions (direct):
P1 0.0000 0.0000 0.5000  2 Ti 2.48
B1 0.5000 0.5000 0.5000  4 P 3.31, 8 Cl 3.41
Cl1 0.0000 0.5000 0.0000  2 Ti 2.34
Cl2 0.5000 0.0000 0.0000  2 Ti 2.34
Ti1 0.0000 0.0000 0.0000  4 Cl 2.34, 2 P 2.48


Entry 4:
Entry from Alexandria: a relaxed LiWS2Cl crystal (PBE).

Summary:
- space-group type = P4/mmm (123)
- electronic total energy (eV per atom) = -4.248
- distance to the lowest polymorph of the same formula (eV per atom) = 1.146
- uncorrected formation energy (meV/atom) = 746.1

a = 4.4694 Å, b = 4.4694 Å, c = 4.2432 Å
α = 90.00°, β = 90.00°, γ = 90.00°
With the nearest neighbours (Å) after each atom.
Positions (direct):
S1 0.0000 0.5000 0.0000  2 Li 2.23
S2 0.5000 0.0000 0.0000  2 Li 2.23
Li1 0.0000 0.0000 0.0000  2 Cl 2.12, 4 S 2.23
W1 0.5000 0.5000 0.5000  8 S 3.08, 4 Cl 3.16
Cl1 0.0000 0.0000 0.5000  2 Li 2.12


Entry 5:
Entry from Alexandria: a relaxed Ce2PmTl3S6 crystal (PBE).

Summary:
- space-group type = C2/m (12)
- electronic total energy (eV per atom) = -5.461
- uncorrected formation energy (meV/atom) = -1420.7

a = 7.2428 Å, b = 7.2428 Å, c = 7.8619 Å
α = 98.83°, β = 98.83°, γ = 120.00°
With the nearest neighbours (Å) after each atom.
Positions (direct):
Ce1 0.3332 0.6668 0.0000  6 S 2.85
Ce2 0.6668 0.3332 0.0000  6 S 2.85
Pm1 0.0000 0.0000 0.0000  6 S 2.84
Tl1 0.1658 0.8342 0.5000  6 S 3.28-3.30
Tl2 0.8342 0.1658 0.5000  6 S 3.28-3.30
Tl3 0.5000 0.5000 0.5000  6 S 3.29
S1 0.9327 0.6000 0.7981  1 Pm 2.84, 2 Ce 2.85
S2 0.7345 0.7345 0.2017  1 Pm 2.84, 2 Ce 2.85
S3 0.0673 0.4000 0.2019  1 Pm 2.84, 2 Ce 2.85
S4 0.6000 0.9327 0.7981  1 Pm 2.84, 2 Ce 2.85
S5 0.2655 0.2655 0.7983  1 Pm 2.84, 2 Ce 2.85
S6 0.4000 0.0673 0.2019  1 Pm 2.84, 2 Ce 2.85


Entry 6:
Entry from Alexandria: a relaxed LaTa2Zn crystal (PBE).

Summary:
- space-group type = Immm (71)
- electronic total energy (eV per atom) = -7.103
- energy of formation (eV per atom) = 0.374

a = 6.1112 Å, b = 6.1112 Å, c = 6.1112 Å
α = 151.44°, β = 129.09°, γ = 59.41°
With the nearest neighbours (Å) after each atom.
Positions (direct):
La1 0.7500 0.2500 0.5000  2 La 3.01, 4 Zn 3.03, 4 Ta 3.26
Ta1 0.0225 0.0225 0.0000  2 Zn 2.85, 6 Ta 3.01-3.07
Ta2 0.4775 0.4775 0.0000  2 Zn 2.85, 6 Ta 3.01-3.07
Zn1 0.2500 0.7500 0.5000  4 Ta 2.85, 2 Zn 3.01, 4 La 3.03


Entry 7:
Entry from Alexandria: a relaxed AlTeP2Cl crystal (PBE).

Summary:
- space-group type = P4/mmm (123)
- electronic total energy (eV per atom) = -3.702
- distance to the lowest polymorph of the same formula (eV per atom) = 0.000
- uncorrected formation energy (meV/atom) = 208.4

a = 4.8458 Å, b = 4.8458 Å, c = 4.4638 Å
α = 90.00°, β = 90.00°, γ = 90.00°
With the nearest neighbours (Å) after each atom.
Positions (direct):
P1 0.0000 0.5000 0.0000  2 Al 2.42
P2 0.5000 0.0000 0.0000  2 Al 2.42
Te1 0.5000 0.5000 0.5000  8 P 3.29, 4 Cl 3.43
Al1 0.0000 0.0000 0.0000  2 Cl 2.23, 4 P 2.42
Cl1 0.0000 0.0000 0.5000  2 Al 2.23


Entry 8:
Entry from Alexandria: a relaxed ZnFe2Pt crystal (PBE).

Summary:
- space-group type = F222 (22)
- electronic total energy (eV per atom) = -6.221
- energy of formation (eV per atom) = -0.161

a = 4.5149 Å, b = 4.5149 Å, c = 4.5120 Å
α = 129.47°, β = 129.47°, γ = 74.31°
With the nearest neighbours (Å) after each atom.
Positions (direct):
Fe1 0.0000 0.0000 0.0000  4 Fe 2.64, 4 Zn 2.64, 4 Pt 2.72-2.73
Fe2 0.7500 0.2500 0.5000  4 Fe 2.64, 4 Pt 2.64, 4 Zn 2.72-2.73
Pt1 0.5000 0.5000 0.0000  4 Zn 2.64, 8 Fe 2.64-2.73
Zn1 0.2500 0.7500 0.5000  8 Fe 2.64-2.73, 4 Pt 2.64


Entry 9:
Entry from Alexandria: a relaxed NbB crystal (PBE).

Summary:
- space-group type = Cm (8)
- electronic total energy (eV per atom) = -8.640
- energy of formation (eV per atom) = -0.266

a = 6.3191 Å, b = 3.0727 Å, c = 5.2006 Å
α = 90.00°, β = 99.34°, γ = 90.00°
With the nearest neighbours (Å) after each atom.
Positions (direct):
Nb1 0.9055 0.0000 0.3051  6 B 2.33-2.54
Nb2 0.9055 0.5000 0.8051  6 B 2.33-2.54
Nb3 0.5087 0.0000 0.7549  1 B 2.22
Nb4 0.5087 0.5000 0.2549  1 B 2.22
B1 0.1533 0.0000 0.6882  3 B 1.74-1.79
B2 0.1533 0.5000 0.1882  3 B 1.74-1.79
B3 0.1993 0.0000 0.0281  3 B 1.74-1.79
B4 0.1993 0.5000 0.5281  3 B 1.74-1.79


Entry 10:
Entry from Alexandria: a relaxed BaAg2Cl6 crystal (PBE).

Summary:
- space-group type = C2/m (12)
- electronic total energy (eV per atom) = -3.130
- distance to the lowest polymorph of the same formula (eV per atom) = 0.000
- uncorrected formation energy (meV/atom) = -1051.9

a = 5.3707 Å, b = 8.8902 Å, c = 5.7843 Å
α = 108.90°, β = 90.00°, γ = 107.58°
With the nearest neighbours (Å) after each atom.
Positions (direct):
Ba1 0.0000 0.0000 0.5000  8 Cl 3.13-3.27
Ag1 0.7529 0.5058 0.7531  4 Cl 2.41-2.69
Ag2 0.2471 0.4942 0.2469  4 Cl 2.41-2.69
Cl1 0.2444 0.4887 0.7443  4 Ag 2.69-2.89
Cl2 0.7556 0.5113 0.2557  4 Ag 2.69-2.89
Cl3 0.0960 0.1919 0.0962  1 Ag 2.41
Cl4 0.6015 0.2029 0.6025  1 Ag 2.41
Cl5 0.9040 0.8081 0.9038  1 Ag 2.41
Cl6 0.3985 0.7971 0.3975  1 Ag 2.41


Entry 11:
Entry from Alexandria: a relaxed LaNiAs2 crystal (PBE).

Summary:
- space-group type = R3m (160)
- electronic total energy (eV per atom) = -5.672
- energy of formation (eV per atom) = -0.670

a = 6.5815 Å, b = 6.5815 Å, c = 6.5815 Å
α = 34.66°, β = 34.66°, γ = 34.66°
With the nearest neighbours (Å) after each atom.
Positions (direct):
As1 0.0561 0.0561 0.0561  3 Ni 2.44
As2 0.2763 0.2763 0.2763  3 Ni 2.56
La1 0.4939 0.4939 0.4939  6 As 2.98-3.12, 1 Ni 3.33
Ni1 0.6737 0.6737 0.6737  6 As 2.44-2.56


Entry 12:
Entry from Alexandria: a relaxed Nd2ThCd crystal (PBE).

Summary:
- space-group type = P4/mmm (123)
- electronic total energy (eV per atom) = -4.511
- distance to the lowest polymorph of the same formula (eV per atom) = 0.117
- energy of formation (eV per atom) = -0.043

a = 4.9583 Å, b = 4.9718 Å, c = 4.9718 Å
α = 90.00°, β = 90.00°, γ = 90.00°
With the nearest neighbours (Å) after each atom.
Positions (direct):
Nd1 0.0000 0.0000 0.5000  4 Cd 3.51, 4 Th 3.51, 4 Nd 3.52
Nd2 0.0000 0.5000 0.0000  4 Cd 3.51, 4 Th 3.51, 4 Nd 3.52
Th1 0.5000 0.5000 0.5000  8 Nd 3.51, 4 Cd 3.52
Cd1 0.5000 0.0000 0.0000  8 Nd 3.51, 4 Th 3.52